# 1
The following is a DFT calculation (meta-GGA SCAN) of BaCdPt2 at its PBEsol-relaxed geometry.

Cell and atoms, written as POSCAR:
```
BaCdPt2
1.0
-0.791 3.659 -2.768
-4.162 0.537 -2.016
-3.345 4.252 2.661
Pt Cd Ba
2 1 1
Direct
0.689 0.689 0.932
0.311 0.311 0.068
0.000 0.000 0.000
0.500 0.500 0.500
```

## Properties
Space group: R-3m (166)
Formation enthalpy at 0 K in eV per atom: -0.6163

---

# 2
The following is a DFT calculation (meta-GGA SCAN) of YBP2O at its PBEsol-relaxed geometry.

Cell and atoms, written as POSCAR:
```
YBP2O
1.0
-2.474 -2.488 -2.057
-2.159 -1.652 4.596
-3.648 3.888 -0.316
P B Y O
2 1 1 1
Direct
0.000 0.500 0.000
0.000 0.000 0.500
0.500 0.500 0.500
0.000 0.000 0.000
0.500 0.000 0.000
```

## Properties
Space group: P4/mmm (123)
ΔE_f (raw) in meV per atom: 862

---

# 3
The following is a DFT calculation (meta-GGA SCAN) of HfTiMo3 at its PBEsol-relaxed geometry.

Cell and atoms, written as POSCAR:
```
HfTiMo3
1.0
4.665 0.000 0.000
0.000 4.665 0.000
0.000 0.000 4.665
Mo Hf Ti
3 1 1
Direct
0.000 0.000 0.500
0.500 0.000 0.000
0.000 0.500 0.000
0.000 0.000 0.000
0.500 0.500 0.500
```

## Properties
Space group: Pm-3m (221)
Formation enthalpy at 0 K in eV per atom: 1.8433

---

# 4
The following is a DFT calculation (meta-GGA SCAN) of LiInBr2 at its PBEsol-relaxed geometry.

Cell and atoms, written as POSCAR:
```
LiInBr2
1.0
6.613 0.155 -0.245
-2.507 6.121 0.245
2.507 2.842 5.427
Br In Li
4 2 2
Direct
0.071 0.625 0.804
0.929 0.125 0.446
0.429 0.804 0.125
0.571 0.446 0.625
0.500 0.250 0.250
0.000 0.000 0.000
0.000 0.500 0.500
0.500 0.750 0.750
```

## Properties
Space group: I-42d (122)
ΔE_f (raw) in meV per atom: -1139
Energy above the most stable polymorph in this dataset in meV per atom: 3

---

The records above give, respectively, spin magnetization values of 0.0, 2.4, 2.5, 0.0 μB/f.u..
The records above give, respectively, calculated volume values of 101.3, 116.0, 101.5, 222.8 Å³/cell.